(1)
Below is a relaxed structure of AlZnBr, with properties calculated at the PBE level.

a b c (Å): 4.859 4.871 10.952
angles (deg): 90.00 90.00 90.00
Fractional coordinates of all 12 atoms:
Al  0.000  0.000  0.000
Al  0.000  0.500  0.500
Al  0.500  0.000  0.500
Al  0.500  0.500  0.000
Zn  0.000  0.000  0.608
Zn  0.000  0.500  0.108
Zn  0.500  0.000  0.108
Zn  0.500  0.500  0.608
Br  0.000  0.000  0.318
Br  0.000  0.500  0.818
Br  0.500  0.000  0.818
Br  0.500  0.500  0.318

Computed properties:
- mass density (g/cm³) = 4.415
- M_tot (μB/cell) = 0.0
- E_tot (eV/atom) = -2.205
- energy relative to the elements, uncorrected (eV/atom) = 0.025

---

(2)
Below is a relaxed structure of TaZn3Cu2, with properties calculated at the PBE level.

a b c (Å): 2.875 2.875 10.208
angles (deg): 90.00 90.00 90.00
Fractional coordinates of all 6 atoms:
Ta  0.000  0.000  0.000
Zn  0.500  0.500  0.194
Zn  0.500  0.500  0.500
Zn  0.500  0.500  0.806
Cu  0.000  0.000  0.346
Cu  0.000  0.000  0.654

Computed properties:
- mass density (g/cm³) = 9.923
- M_tot (μB/cell) = 0.0
- E_tot (eV/atom) = -4.026